No. 1
A geometry-optimized LiTeRh2 structure, computed with GGA-PBE.

Lattice parameters (Å, degrees): 7.7694 7.7694 7.7694 24.13 24.13 24.13
Fractional positions:
Li 0.0000 0.0000 0.0000
Te 0.5000 0.5000 0.5000
Rh 0.2487 0.2487 0.2487
Rh 0.7513 0.7513 0.7513

D(E_F)	2.79	states/eV/cell
raw total energy	-4.861	eV per atom
formation energy from raw total energies	0.078	eV/atom
calculated density	8.21	Mg/m³

=====

No. 2
A geometry-optimized Y2Zr2Ag structure, computed with GGA-PBE.

Lattice parameters (Å, degrees): 7.2714 7.2714 5.0158 90.00 90.00 90.00
Fractional positions:
Y 0.1648 0.3352 0.0000
Y 0.3352 0.8352 0.0000
Y 0.6648 0.1648 0.0000
Y 0.8352 0.6648 0.0000
Zr 0.1356 0.6356 0.5000
Zr 0.3644 0.1356 0.5000
Zr 0.6356 0.8644 0.5000
Zr 0.8644 0.3644 0.5000
Ag 0.0000 0.0000 0.5000
Ag 0.5000 0.5000 0.5000

D(E_F)	14.39	states/eV/cell
raw total energy	-6.399	eV per atom
calculated density	5.86	Mg/m³
energy of formation from the pure elements	176	meV/atom

=====

No. 3
A geometry-optimized LaGe4Ru structure, computed with GGA-PBE.

Lattice parameters (Å, degrees): 9.4557 9.4557 5.8975 90.00 90.00 151.68
Fractional positions:
La 0.0955 0.9045 0.7500
La 0.9045 0.0955 0.2500
Ge 0.1444 0.8556 0.2500
Ge 0.2844 0.7156 0.0245
Ge 0.2844 0.7156 0.4755
Ge 0.5000 0.5000 0.0000
Ge 0.5000 0.5000 0.5000
Ge 0.7156 0.2844 0.5245
Ge 0.7156 0.2844 0.9755
Ge 0.8556 0.1444 0.7500
Ru 0.3945 0.6055 0.7500
Ru 0.6055 0.3945 0.2500

D(E_F)	9.26	states/eV/cell
raw total energy	-5.769	eV per atom
calculated density	7.04	Mg/m³
energy of formation from the pure elements	-323	meV/atom

=====

No. 4
A geometry-optimized Ta2CoHg structure, computed with GGA-PBE.

Lattice parameters (Å, degrees): 9.4131 9.4131 9.4131 17.90 17.90 17.90
Fractional positions:
Ta 0.2397 0.2397 0.2397
Ta 0.7603 0.7603 0.7603
Co 0.5000 0.5000 0.5000
Hg 0.0000 0.0000 0.0000

D(E_F)	4.38	states/eV/cell
raw total energy	-7.460	eV per atom
calculated density	15.00	Mg/m³
energy of formation from the pure elements	318	meV/atom

=====

- Among the records above, which one has the highest calculated density?
  Ta2CoHg

=====

- Look up the calculated density of the first one.
  8.21 Mg/m³

=====

- Among the records above, which one has the highest calculated density?
  Ta2CoHg